one) # TiMn2V | Alexandria via LeMat-Bulk | PBE-GGA | optimized geometry
# Crystal system: tetragonal
# N(E_F), states/eV per cell: 12.06
data_TiMn2V
_symmetry_space_group_name_H-M 'I -4 2 d'
_symmetry_Int_Tables_number 122
_symmetry_space_group_name_Hall 'I -4 2bw'
_cell_length_a 6.494
_cell_length_b 6.494
_cell_length_c 5.258
_cell_angle_alpha 90.00
_cell_angle_beta 90.00
_cell_angle_gamma 90.00
loop_
_atom_site_label
_atom_site_type_symbol
_atom_site_fract_x
_atom_site_fract_y
_atom_site_fract_z
_atom_site_occupancy
Ti1 Ti 0.000 0.000 0.000 1
Mn1 Mn 0.233 0.250 0.625 1
V1 V 0.000 0.000 0.500 1

---

two) # TiMn2V | Alexandria via LeMat-Bulk | PBE-GGA | optimized geometry
# Crystal system: tetragonal
# N(E_F), states/eV per cell: 2.16
data_TiMn2V
_symmetry_space_group_name_H-M 'P 4/m m m'
_symmetry_Int_Tables_number 123
_symmetry_space_group_name_Hall '-P 4 2'
_cell_length_a 2.922
_cell_length_b 2.922
_cell_length_c 5.877
_cell_angle_alpha 90.00
_cell_angle_beta 90.00
_cell_angle_gamma 90.00
loop_
_atom_site_label
_atom_site_type_symbol
_atom_site_fract_x
_atom_site_fract_y
_atom_site_fract_z
_atom_site_occupancy
Ti1 Ti 0.000 0.000 0.000 1
Mn1 Mn 0.500 0.500 0.260 1
V1 V 0.000 0.000 0.500 1

---

The least stable of them is one).

---

one) # TiMn2W | Alexandria via LeMat-Bulk | PBE-GGA | optimized geometry
# Crystal system: cubic
# N(E_F), states/eV per cell: 3.90
data_TiMn2W
_symmetry_space_group_name_H-M 'F m -3 m'
_symmetry_Int_Tables_number 225
_symmetry_space_group_name_Hall '-F 4 2 3'
_cell_length_a 5.961
_cell_length_b 5.961
_cell_length_c 5.961
_cell_angle_alpha 90.00
_cell_angle_beta 90.00
_cell_angle_gamma 90.00
loop_
_atom_site_label
_atom_site_type_symbol
_atom_site_fract_x
_atom_site_fract_y
_atom_site_fract_z
_atom_site_occupancy
Ti1 Ti 0.000 0.000 0.000 1
Mn1 Mn 0.250 0.250 0.250 1
W1 W 0.000 0.000 0.500 1

---

two) # TiMn2W | Alexandria via LeMat-Bulk | PBE-GGA | optimized geometry
# Crystal system: tetragonal
# N(E_F), states/eV per cell: 1.52
data_TiMn2W
_symmetry_space_group_name_H-M 'P 4/m m m'
_symmetry_Int_Tables_number 123
_symmetry_space_group_name_Hall '-P 4 2'
_cell_length_a 4.219
_cell_length_b 4.219
_cell_length_c 2.980
_cell_angle_alpha 90.00
_cell_angle_beta 90.00
_cell_angle_gamma 90.00
loop_
_atom_site_label
_atom_site_type_symbol
_atom_site_fract_x
_atom_site_fract_y
_atom_site_fract_z
_atom_site_occupancy
Ti1 Ti 0.000 0.000 0.000 1
Mn1 Mn 0.000 0.500 0.500 1
W1 W 0.500 0.500 0.000 1

---

The least stable of them is two).